(1)
## RbMg3Tl9 (GGA-PBE)

Data for RbMg3Tl9 after structural relaxation.

E: -2.107 eV/atom
total magnetic moment: 0.0 Bohr magnetons per cell
Fermi-level density of states: 0.59 states/eV per atom
ΔE_f: -0.03 eV/atom
crystal system: monoclinic

Structure (CIF):
```
data_RbMg3Tl9
_chemical_formula_sum 'Rb1 Mg3 Tl9'
_symmetry_space_group_name_H-M 'P 1'
_symmetry_Int_Tables_number 1
_symmetry_space_group_name_Hall 'P 1'
_cell_length_a 6.2581
_cell_length_b 8.3751
_cell_length_c 8.5854
_cell_angle_alpha 82.27
_cell_angle_beta 68.63
_cell_angle_gamma 68.33
loop_
_atom_site_label
_atom_site_fract_x
_atom_site_fract_y
_atom_site_fract_z
_atom_site_occupancy
Tl1 0.4845 0.7868 0.2208 1
Mg1 0.0000 0.0000 0.5000 1
Tl2 0.9986 0.6503 0.3577 1
Tl3 0.3563 0.6503 0.6423 1
Tl4 0.6437 0.3497 0.3577 1
Mg2 0.5000 0.5000 0.0000 1
Tl5 0.7053 0.7868 0.7792 1
Tl6 0.5155 0.2132 0.7792 1
Mg3 0.5000 0.0000 0.5000 1
Tl7 0.0014 0.3497 0.6423 1
Tl8 0.0000 0.5000 0.0000 1
Tl9 0.2947 0.2132 0.2208 1
Rb1 0.0000 0.0000 0.0000 1
```



(2)
## Dy3SbO7 (GGA-PBE)

Data for Dy3SbO7 after structural relaxation.

E: -7.772 eV/atom
total magnetic moment: 0.0 Bohr magnetons per cell
Fermi-level density of states: 0.00 states/eV per atom
crystal system: orthorhombic

Structure (CIF):
```
data_Dy3SbO7
_chemical_formula_sum 'Dy6 Sb2 O14'
_symmetry_space_group_name_H-M 'P 1'
_symmetry_Int_Tables_number 1
_symmetry_space_group_name_Hall 'P 1'
_cell_length_a 6.4767
_cell_length_b 6.4767
_cell_length_c 7.5230
_cell_angle_alpha 90.00
_cell_angle_beta 90.00
_cell_angle_gamma 109.42
loop_
_atom_site_label
_atom_site_fract_x
_atom_site_fract_y
_atom_site_fract_z
_atom_site_occupancy
O1 0.9258 0.6772 0.5294 1
O2 0.3228 0.0742 0.9706 1
O3 0.6772 0.9258 0.4706 1
Dy1 0.5318 0.0003 0.7508 1
O4 0.6372 0.3628 0.7500 1
O5 0.3212 0.0706 0.5308 1
O6 0.9294 0.6788 0.9692 1
Dy2 0.0003 0.5318 0.2492 1
O7 0.0742 0.3228 0.0294 1
O8 0.9295 0.0705 0.7500 1
Sb1 0.0000 0.0000 0.0000 1
Dy3 0.4961 0.4961 0.0000 1
Sb2 0.0000 0.0000 0.5000 1
O9 0.3628 0.6372 0.2500 1
O10 0.0706 0.3212 0.4692 1
O11 0.3700 0.6300 0.7500 1
Dy4 0.9997 0.4682 0.7492 1
O12 0.6300 0.3700 0.2500 1
Dy5 0.4682 0.9997 0.2508 1
Dy6 0.5039 0.5039 0.5000 1
O13 0.0705 0.9295 0.2500 1
O14 0.6788 0.9294 0.0308 1
```



(3)
## Tl2TeI (GGA-PBE)

Data for Tl2TeI after structural relaxation.

relative energy among the computed polymorphs: 0.089 eV/atom
E: -2.676 eV/atom
total magnetic moment: 0.0 Bohr magnetons per cell
Fermi-level density of states: 0.81 states/eV per atom
crystal system: trigonal

Structure (CIF):
```
data_Tl2TeI
_chemical_formula_sum 'Tl2 Te1 I1'
_symmetry_space_group_name_H-M 'P 1'
_symmetry_Int_Tables_number 1
_symmetry_space_group_name_Hall 'P 1'
_cell_length_a 4.6494
_cell_length_b 4.6494
_cell_length_c 8.7155
_cell_angle_alpha 74.53
_cell_angle_beta 74.53
_cell_angle_gamma 60.00
loop_
_atom_site_label
_atom_site_fract_x
_atom_site_fract_y
_atom_site_fract_z
_atom_site_occupancy
I1 0.4978 0.4978 0.5065 1
Tl1 0.2587 0.2587 0.2239 1
Tl2 0.0730 0.0730 0.7810 1
Te1 0.6705 0.6705 0.9885 1
```



What did the first record say?
## RbMg3Tl9 (GGA-PBE)

Data for RbMg3Tl9 after structural relaxation.

E: -2.107 eV/atom
total magnetic moment: 0.0 Bohr magnetons per cell
Fermi-level density of states: 0.59 states/eV per atom
ΔE_f: -0.03 eV/atom
crystal system: monoclinic

Structure (CIF):
```
data_RbMg3Tl9
_chemical_formula_sum 'Rb1 Mg3 Tl9'
_symmetry_space_group_name_H-M 'P 1'
_symmetry_Int_Tables_number 1
_symmetry_space_group_name_Hall 'P 1'
_cell_length_a 6.2581
_cell_length_b 8.3751
_cell_length_c 8.5854
_cell_angle_alpha 82.27
_cell_angle_beta 68.63
_cell_angle_gamma 68.33
loop_
_atom_site_label
_atom_site_fract_x
_atom_site_fract_y
_atom_site_fract_z
_atom_site_occupancy
Tl1 0.4845 0.7868 0.2208 1
Mg1 0.0000 0.0000 0.5000 1
Tl2 0.9986 0.6503 0.3577 1
Tl3 0.3563 0.6503 0.6423 1
Tl4 0.6437 0.3497 0.3577 1
Mg2 0.5000 0.5000 0.0000 1
Tl5 0.7053 0.7868 0.7792 1
Tl6 0.5155 0.2132 0.7792 1
Mg3 0.5000 0.0000 0.5000 1
Tl7 0.0014 0.3497 0.6423 1
Tl8 0.0000 0.5000 0.0000 1
Tl9 0.2947 0.2132 0.2208 1
Rb1 0.0000 0.0000 0.0000 1
```



Which value of Fermi-level density of states does entry 3 give?
0.81 states/eV per atom